Density functional theory data (GGA-PBE) for a geometry-optimized BaMg2Cd structure.

The space group is Pmm2 (No. 25) and the conventional cell measures 3.659, 4.006 and 8.263 Å, with angles of 90.00, 90.00 and 90.00 degrees. Symmetry generates all atoms from Ba at (0.000, 0.000, 0.000), Mg at (0.000, 0.000, 0.477), Mg at (0.500, 0.500, 0.680) and Cd at (0.500, 0.500, 0.295).

The density of states at the Fermi level comes out at 3.3 states/eV/cell. The total magnetization comes out at 0.000 μB/atom. The calculation puts the electronic total energy at -1.5877 eV per atom. The calculation puts the formation energy at -0.081 eV/atom.